## A
Pr2ZrSe5 after structural relaxation, computed with GGA-PBE.

Summary:
The space group is Pnma, No. 62.

a = 7.790 Å, b = 8.406 Å, c = 12.280 Å
α = 90.00°, β = 90.00°, γ = 90.00°
Atoms (fractional coordinates):
Pr 0.465 0.497 0.177
Pr 0.035 0.003 0.677
Pr 0.535 0.997 0.823
Pr 0.965 0.503 0.323
Pr 0.535 0.503 0.823
Pr 0.965 0.997 0.323
Pr 0.465 0.003 0.177
Pr 0.035 0.497 0.677
Zr 0.922 0.750 0.008
Zr 0.578 0.750 0.508
Zr 0.078 0.250 0.992
Zr 0.422 0.250 0.492
Se 0.159 0.750 0.183
Se 0.341 0.750 0.683
Se 0.841 0.250 0.817
Se 0.659 0.250 0.317
Se 0.679 0.750 0.293
Se 0.821 0.750 0.793
Se 0.321 0.250 0.707
Se 0.179 0.250 0.207
Se 0.555 0.750 0.005
Se 0.945 0.750 0.505
Se 0.445 0.250 0.995
Se 0.055 0.250 0.495
Se 0.834 0.462 0.086
Se 0.666 0.038 0.586
Se 0.166 0.962 0.914
Se 0.334 0.538 0.414
Se 0.166 0.538 0.914
Se 0.334 0.962 0.414
Se 0.834 0.038 0.086
Se 0.666 0.462 0.586



## B
Pr2ZrSe5 after structural relaxation, computed with GGA-PBE.

Summary:
The space group is Cmcm, No. 63.

a = 5.595 Å, b = 7.686 Å, c = 13.647 Å
α = 90.00°, β = 90.00°, γ = 111.35°
Atoms (fractional coordinates):
Pr 0.854 0.708 0.436
Pr 0.854 0.708 0.064
Pr 0.146 0.292 0.564
Pr 0.146 0.292 0.936
Zr 0.813 0.626 0.750
Zr 0.187 0.374 0.250
Se 0.951 0.903 0.876
Se 0.951 0.903 0.624
Se 0.304 0.607 0.412
Se 0.304 0.607 0.088
Se 0.728 0.456 0.250
Se 0.272 0.544 0.750
Se 0.696 0.393 0.588
Se 0.696 0.393 0.912
Se 0.049 0.097 0.124
Se 0.049 0.097 0.376



It is B that is the least stable of them.



## A
Pr3Si2 after structural relaxation, computed with GGA-PBE.

Summary:
The space group is P4/mbm, No. 127.

a = 7.848 Å, b = 7.848 Å, c = 4.373 Å
α = 90.00°, β = 90.00°, γ = 90.00°
Atoms (fractional coordinates):
Pr 0.500 0.500 0.000
Pr 0.000 0.000 0.000
Pr 0.677 0.177 0.500
Pr 0.323 0.823 0.500
Pr 0.177 0.323 0.500
Pr 0.823 0.677 0.500
Si 0.110 0.610 0.000
Si 0.890 0.390 0.000
Si 0.610 0.890 0.000
Si 0.390 0.110 0.000



## B
Pr3Si2 after structural relaxation, computed with GGA-PBE.

Summary:
The space group is Immm, No. 71.

a = 4.485 Å, b = 6.074 Å, c = 6.074 Å
α = 65.14°, β = 68.33°, γ = 68.33°
Atoms (fractional coordinates):
Pr 0.000 0.000 0.000
Pr 0.796 0.704 0.704
Pr 0.204 0.296 0.296
Si 0.500 0.312 0.688
Si 0.500 0.688 0.312



It is B that is the least stable of them.



## A
Pr5Si4 after structural relaxation, computed with GGA-PBE.

Summary:
The space group is C2/m, No. 12.

a = 4.481 Å, b = 6.008 Å, c = 9.760 Å
α = 75.15°, β = 76.73°, γ = 68.11°
Atoms (fractional coordinates):
Pr 0.105 0.182 0.607
Pr 0.895 0.818 0.393
Pr 0.753 0.662 0.832
Pr 0.247 0.338 0.168
Pr 0.000 0.000 0.000
Si 0.452 0.274 0.822
Si 0.548 0.726 0.178
Si 0.392 0.609 0.608
Si 0.608 0.391 0.392



## B
Pr5Si4 after structural relaxation, computed with GGA-PBE.

Summary:
The space group is P4_12_12, No. 92.

a = 7.946 Å, b = 7.946 Å, c = 15.303 Å
α = 90.00°, β = 90.00°, γ = 90.00°
Atoms (fractional coordinates):
Pr 0.309 0.309 0.000
Pr 0.191 0.809 0.250
Pr 0.809 0.191 0.750
Pr 0.691 0.691 0.500
Pr 0.378 0.011 0.448
Pr 0.489 0.878 0.698
Pr 0.511 0.122 0.198
Pr 0.878 0.489 0.302
Pr 0.122 0.511 0.802
Pr 0.622 0.989 0.948
Pr 0.011 0.378 0.552
Pr 0.989 0.622 0.052
Pr 0.126 0.980 0.876
Pr 0.520 0.626 0.126
Pr 0.480 0.374 0.626
Pr 0.626 0.520 0.874
Pr 0.374 0.480 0.374
Pr 0.874 0.020 0.376
Pr 0.980 0.126 0.124
Pr 0.020 0.874 0.624
Si 0.195 0.169 0.703
Si 0.331 0.695 0.953
Si 0.669 0.305 0.453
Si 0.695 0.331 0.047
Si 0.305 0.669 0.547
Si 0.805 0.831 0.203
Si 0.169 0.195 0.297
Si 0.831 0.805 0.797
Si 0.288 0.922 0.060
Si 0.578 0.788 0.310
Si 0.422 0.212 0.810
Si 0.788 0.578 0.690
Si 0.212 0.422 0.190
Si 0.712 0.078 0.560
Si 0.922 0.288 0.940
Si 0.078 0.712 0.440



It is A that is the least stable of them.



## A
Pr2Si3 after structural relaxation, computed with GGA-PBE.

Summary:
The space group is Cmcm, No. 63.

a = 4.406 Å, b = 4.043 Å, c = 12.734 Å
α = 90.00°, β = 99.96°, γ = 90.00°
Atoms (fractional coordinates):
Pr 0.298 0.750 0.597
Pr 0.702 0.250 0.403
Pr 0.569 0.750 0.137
Pr 0.431 0.250 0.863
Si 0.174 0.750 0.348
Si 0.826 0.250 0.652
Si 0.882 0.750 0.764
Si 0.118 0.250 0.236
Si 0.024 0.250 0.049
Si 0.976 0.750 0.951



## B
Pr2Si3 after structural relaxation, computed with GGA-PBE.

Summary:
The space group is Imm2, No. 44.

a = 7.710 Å, b = 7.710 Å, c = 7.710 Å
α = 150.16°, β = 148.05°, γ = 44.28°
Atoms (fractional coordinates):
Pr 0.627 0.627 0.000
Pr 0.874 0.374 0.500
Si 0.463 0.963 0.500
Si 0.203 0.203 0.000
Si 0.298 0.798 0.500



It is B that is the least stable of them.



## A
Pr2SmSi after structural relaxation, computed with GGA-PBE.

Summary:
The space group is R-3m, No. 166.

a = 3.766 Å, b = 3.766 Å, c = 11.257 Å
α = 80.37°, β = 80.37°, γ = 60.00°
Atoms (fractional coordinates):
Pr 0.108 0.108 0.676
Pr 0.892 0.892 0.324
Si 0.500 0.500 0.500
Sm 0.000 0.000 0.000



## B
Pr2SmSi after structural relaxation, computed with GGA-PBE.

Summary:
The space group is P4/mmm, No. 123.

a = 4.821 Å, b = 4.779 Å, c = 4.779 Å
α = 90.00°, β = 90.00°, γ = 90.00°
Atoms (fractional coordinates):
Pr 0.000 0.000 0.500
Pr 0.000 0.500 0.000
Si 0.500 0.500 0.500
Sm 0.500 0.000 0.000



It is A that is the least stable of them.



## A
PrSmSi4 after structural relaxation, computed with GGA-PBE.

Summary:
The space group is F-43m, No. 216.

a = 5.447 Å, b = 5.447 Å, c = 5.447 Å
α = 60.00°, β = 60.00°, γ = 60.00°
Atoms (fractional coordinates):
Pr 0.000 0.000 0.000
Si 0.623 0.623 0.130
Si 0.623 0.130 0.623
Si 0.623 0.623 0.623
Si 0.130 0.623 0.623
Sm 0.250 0.250 0.250



## B
PrSmSi4 after structural relaxation, computed with GGA-PBE.

Summary:
The space group is I-4m2, No. 119.

a = 4.271 Å, b = 4.271 Å, c = 7.454 Å
α = 106.65°, β = 106.65°, γ = 90.00°
Atoms (fractional coordinates):
Pr 0.000 0.000 0.000
Sm 0.250 0.750 0.500
Si 0.665 0.165 0.330
Si 0.586 0.586 0.172
Si 0.835 0.335 0.670
Si 0.414 0.414 0.828



It is A that is the least stable of them.



## A
PrSi2Tc3 after structural relaxation, computed with GGA-PBE.

Summary:
The space group is Immm, No. 71.

a = 4.101 Å, b = 7.772 Å, c = 7.772 Å
α = 62.51°, β = 74.70°, γ = 74.70°
Atoms (fractional coordinates):
Pr 0.875 0.125 0.125
Pr 0.125 0.875 0.875
Si 0.500 0.211 0.789
Si 0.500 0.789 0.211
Si 0.813 0.687 0.687
Si 0.187 0.313 0.313
Tc 0.311 0.487 0.892
Tc 0.000 0.357 0.643
Tc 0.689 0.109 0.513
Tc 0.311 0.891 0.487
Tc 0.000 0.643 0.357
Tc 0.689 0.513 0.108



## B
PrSi2Tc3 after structural relaxation, computed with GGA-PBE.

Summary:
The space group is C2/m, No. 12.

a = 4.147 Å, b = 7.889 Å, c = 7.573 Å
α = 116.11°, β = 90.00°, γ = 105.24°
Atoms (fractional coordinates):
Pr 0.856 0.711 0.939
Pr 0.144 0.289 0.061
Si 0.477 0.954 0.815
Si 0.523 0.046 0.185
Si 0.808 0.616 0.293
Si 0.192 0.384 0.707
Tc 0.300 0.599 0.530
Tc 0.955 0.910 0.609
Tc 0.586 0.172 0.650
Tc 0.414 0.828 0.350
Tc 0.045 0.090 0.391
Tc 0.700 0.401 0.470



It is A that is the least stable of them.



## A
PrSiTc after structural relaxation, computed with GGA-PBE.

Summary:
The space group is P4/nmm, No. 129.

a = 4.380 Å, b = 4.380 Å, c = 6.733 Å
α = 90.04°, β = 90.04°, γ = 90.00°
Atoms (fractional coordinates):
Pr 0.813 0.866 0.602
Pr 0.314 0.367 0.237
Si 0.814 0.867 0.091
Si 0.313 0.366 0.748
Tc 0.814 0.366 0.920
Tc 0.314 0.866 0.920



## B
PrSiTc after structural relaxation, computed with GGA-PBE.

Summary:
The space group is C2/m, No. 12.

a = 4.186 Å, b = 5.537 Å, c = 6.261 Å
α = 76.82°, β = 70.42°, γ = 67.78°
Atoms (fractional coordinates):
Tc 0.142 0.276 0.440
Tc 0.858 0.724 0.560
Si 0.800 0.125 0.275
Si 0.200 0.875 0.725
Pr 0.561 0.708 0.171
Pr 0.439 0.292 0.829



## C
PrSiTc after structural relaxation, computed with GGA-PBE.

Summary:
The space group is I4mm, No. 107.

a = 3.319 Å, b = 3.319 Å, c = 5.846 Å
α = 106.49°, β = 106.49°, γ = 90.00°
Atoms (fractional coordinates):
Pr 0.000 0.000 0.000
Si 0.291 0.291 0.582
Tc 0.709 0.709 0.417



## D
PrSiTc after structural relaxation, computed with GGA-PBE.

Summary:
The space group is P-6m2, No. 187.

a = 4.288 Å, b = 4.184 Å, c = 4.184 Å
α = 120.00°, β = 90.00°, γ = 90.00°
Atoms (fractional coordinates):
Pr 0.667 0.667 0.333
Si 0.167 0.333 0.667
Tc 0.167 0.000 0.000



It is C that is the least stable of them.



## A
Pr2SiTe after structural relaxation, computed with GGA-PBE.

Summary:
The space group is R3m, No. 160.

a = 4.363 Å, b = 4.363 Å, c = 8.016 Å
α = 74.21°, β = 74.21°, γ = 60.00°
Atoms (fractional coordinates):
Pr 0.073 0.073 0.782
Pr 0.261 0.261 0.218
Si 0.668 0.668 0.997
Te 0.499 0.499 0.503



## B
Pr2SiTe after structural relaxation, computed with GGA-PBE.

Summary:
The space group is R-3m, No. 166.

a = 4.395 Å, b = 4.395 Å, c = 7.817 Å
α = 73.67°, β = 73.67°, γ = 60.00°
Atoms (fractional coordinates):
Pr 0.259 0.259 0.224
Pr 0.741 0.741 0.776
Si 0.000 0.000 0.000
Te 0.500 0.500 0.500



It is A that is the least stable of them.



## A
Pr2TmSi2 after structural relaxation, computed with GGA-PBE.

Summary:
The space group is C2/m, No. 12.

a = 4.376 Å, b = 6.609 Å, c = 9.933 Å
α = 78.62°, β = 77.27°, γ = 70.67°
Atoms (fractional coordinates):
Pr 0.320 0.267 0.093
Pr 0.484 0.342 0.689
Pr 0.680 0.733 0.907
Pr 0.516 0.658 0.311
Tm 0.775 0.082 0.369
Tm 0.225 0.918 0.631
Si 0.992 0.122 0.893
Si 0.111 0.333 0.446
Si 0.008 0.878 0.107
Si 0.889 0.667 0.554



## B
Pr2TmSi2 after structural relaxation, computed with GGA-PBE.

Summary:
The space group is P4/mbm, No. 127.

a = 4.445 Å, b = 7.589 Å, c = 7.589 Å
α = 90.00°, β = 90.00°, γ = 90.00°
Atoms (fractional coordinates):
Pr 0.500 0.177 0.677
Pr 0.500 0.677 0.823
Pr 0.500 0.823 0.323
Pr 0.500 0.323 0.177
Tm 0.000 0.000 0.000
Tm 0.000 0.500 0.500
Si 0.000 0.385 0.885
Si 0.000 0.885 0.615
Si 0.000 0.615 0.115
Si 0.000 0.115 0.385



It is A that is the least stable of them.